LiMn7O12 | PBE with a Hubbard U | relaxed

Cell: 7.4272 7.4272 7.4272 Å, 90.00 90.00 90.00°
Closest atoms and distances in Å follow each position.
Space group Im-3 (No. 204)
Unique sites:
Li 0.0000 0.0000 0.0000 (multiplicity 2)  12 O 2.68
Mn 0.0000 0.0000 0.5000 (multiplicity 6)  4 O 1.95
Mn 0.2500 0.2500 0.2500 (multiplicity 8)  6 O 1.98
O 0.0000 0.1827 0.3112 (multiplicity 24)  3 Mn 1.95-1.98

## Properties
The volume comes out at 10.2 Å³/atom. Its energy above the lowest structure with this stoichiometry is 0 kJ/mol of formula units.